La4Pr3Tl: relaxed, PBE.

Unit cell a=10.2605 b=7.2170 c=7.3403 alpha=90.00 beta=90.00 gamma=90.00
Fractional positions:
La1 0.0000 0.0014 0.0000
La2 0.0000 0.4985 0.5016
La3 0.2488 0.7598 0.2505
La4 0.2512 0.2402 0.7505
La5 0.5000 0.5015 0.0016
La6 0.5000 0.9986 0.5000
La7 0.7488 0.2402 0.7505
La8 0.7512 0.7598 0.2505
Pr1 0.0000 0.4999 0.0005
Pr2 0.2503 0.2312 0.2506
Pr3 0.2497 0.7688 0.7506
Pr4 0.5000 0.5001 0.5005
Pr5 0.7497 0.2312 0.2506
Pr6 0.7503 0.7688 0.7506
Tl1 0.0000 0.9999 0.5008
Tl2 0.5000 0.0001 0.0008

## Properties
* energy relative to the lowest polymorph listed for this composition: 0.048 eV/f.u.

---

La4Pr7Tl: relaxed, PBE.

Unit cell a=8.8595 b=8.8595 c=9.6184 alpha=114.62 beta=114.62 gamma=40.79
Fractional positions:
La1 0.0943 0.0943 0.4859
La2 0.2276 0.2276 0.2746
La3 0.7724 0.7724 0.7254
La4 0.9057 0.9057 0.5141
Pr1 0.0000 0.0000 0.0000
Pr2 0.2211 0.2211 0.8983
Pr3 0.3411 0.3411 0.6586
Pr4 0.4343 0.4343 0.2779
Pr5 0.5657 0.5657 0.7221
Pr6 0.6589 0.6589 0.3414
Pr7 0.7789 0.7789 0.1017
Tl1 0.5000 0.5000 0.0000

## Properties
* electronic total energy: -54.2 eV per formula unit

---

LaPr5Tl4: relaxed, PBE.

Unit cell a=8.5872 b=9.4188 c=8.8839 alpha=90.00 beta=90.00 gamma=90.00
Fractional positions:
La1 0.2500 0.2500 0.1597
La2 0.7500 0.7500 0.8403
Pr1 0.0036 0.5542 0.2329
Pr2 0.0036 0.9458 0.2329
Pr3 0.2500 0.7500 0.5817
Pr4 0.4964 0.5542 0.2329
Pr5 0.4964 0.9458 0.2329
Pr6 0.5036 0.0542 0.7671
Pr7 0.5036 0.4458 0.7671
Pr8 0.7500 0.2500 0.4183
Pr9 0.9964 0.0542 0.7671
Pr10 0.9964 0.4458 0.7671
Tl1 0.0855 0.7500 0.9409
Tl2 0.2500 0.0872 0.4944
Tl3 0.2500 0.4128 0.4944
Tl4 0.4145 0.7500 0.9409
Tl5 0.5855 0.2500 0.0591
Tl6 0.7500 0.5872 0.5056
Tl7 0.7500 0.9128 0.5056
Tl8 0.9145 0.2500 0.0591

## Properties
* energy relative to the lowest polymorph listed for this composition: 2.379 eV/f.u.

---

La9PrTl2: relaxed, PBE.

Unit cell a=5.1169 b=5.1169 c=15.5505 alpha=90.00 beta=90.00 gamma=90.00
Fractional positions:
La1 0.0000 0.0000 0.0000
La2 0.0000 0.0000 0.3397
La3 0.0000 0.0000 0.6603
La4 0.0000 0.5000 0.1731
La5 0.0000 0.5000 0.5000
La6 0.0000 0.5000 0.8269
La7 0.5000 0.0000 0.1731
La8 0.5000 0.0000 0.5000
La9 0.5000 0.0000 0.8269
Pr1 0.5000 0.5000 0.0000
Tl1 0.5000 0.5000 0.3376
Tl2 0.5000 0.5000 0.6624

## Properties
* electronic total energy: -55.6 eV per formula unit

---

LaPr2Tl: relaxed, PBE.

Unit cell a=5.0697 b=5.0697 c=4.9911 alpha=90.00 beta=90.00 gamma=90.00
Fractional positions:
La1 0.0000 0.0000 0.0000
Pr1 0.0000 0.5000 0.5000
Pr2 0.5000 0.0000 0.5000
Tl1 0.5000 0.5000 0.0000

## Properties
* energy relative to the lowest polymorph listed for this composition: 0.000 eV/f.u.

---

La2PrTl2: relaxed, PBE.

Unit cell a=8.4492 b=8.4492 c=4.7446 alpha=90.00 beta=90.00 gamma=90.00
Fractional positions:
La1 0.1684 0.3316 0.0000
La2 0.3316 0.8316 0.0000
La3 0.6684 0.1684 0.0000
La4 0.8316 0.6684 0.0000
Pr1 0.0000 0.0000 0.5000
Pr2 0.5000 0.5000 0.5000
Tl1 0.1291 0.6291 0.5000
Tl2 0.3709 0.1291 0.5000
Tl3 0.6291 0.8709 0.5000
Tl4 0.8709 0.3709 0.5000

## Properties
* electronic total energy: -21.0 eV per formula unit

---

LaPr3Tl3: relaxed, PBE.

Unit cell a=9.7287 b=9.7287 c=9.7287 alpha=90.00 beta=90.00 gamma=90.00
Fractional positions:
La1 0.0740 0.4260 0.5740
La2 0.4260 0.5740 0.0740
La3 0.5740 0.0740 0.4260
La4 0.9260 0.9260 0.9260
Pr1 0.0761 0.5761 0.9239
Pr2 0.1767 0.1767 0.1767
Pr3 0.1766 0.8234 0.3234
Pr4 0.3234 0.1766 0.8234
Pr5 0.3233 0.8233 0.6767
Pr6 0.4239 0.4239 0.4239
Pr7 0.5761 0.9239 0.0761
Pr8 0.6767 0.3233 0.8233
Pr9 0.6766 0.6766 0.6766
Pr10 0.8234 0.3234 0.1766
Pr11 0.8233 0.6767 0.3233
Pr12 0.9239 0.0761 0.5761
Tl1 0.0004 0.2525 0.8774
Tl2 0.9996 0.7525 0.6226
Tl3 0.1226 0.5004 0.2475
Tl4 0.2475 0.1226 0.5004
Tl5 0.2525 0.8774 0.0004
Tl6 0.3774 0.4996 0.7475
Tl7 0.5004 0.2475 0.1226
Tl8 0.4996 0.7475 0.3774
Tl9 0.6226 0.9996 0.7525
Tl10 0.7475 0.3774 0.4996
Tl11 0.7525 0.6226 0.9996
Tl12 0.8774 0.0004 0.2525

## Properties
* energy relative to the lowest polymorph listed for this composition: 0.000 eV/f.u.

---

La8Pr3Tl2: relaxed, PBE.

Unit cell a=6.5888 b=7.5480 c=9.7837 alpha=91.35 beta=91.29 gamma=107.67
Fractional positions:
La1 0.0328 0.3800 0.3582
La2 0.0454 0.8663 0.3209
La3 0.3899 0.9716 0.8266
La4 0.4358 0.4740 0.8124
La5 0.5642 0.5260 0.1876
La6 0.6101 0.0284 0.1734
La7 0.9546 0.1337 0.6791
La8 0.9672 0.6200 0.6418
Pr1 0.0000 0.5000 0.0000
Pr2 0.4849 0.2438 0.5007
Pr3 0.5151 0.7562 0.4993
Tl1 0.1773 0.1589 0.0710
Tl2 0.8227 0.8411 0.9290

## Properties
* electronic total energy: -59.3 eV per formula unit

---

LaPr4Tl4: relaxed, PBE.

Unit cell a=9.4472 b=9.4472 c=6.3897 alpha=90.00 beta=90.00 gamma=90.00
Fractional positions:
La1 0.2500 0.2500 0.2500
La2 0.7500 0.7500 0.7500
Pr1 0.0811 0.8251 0.6236
Pr2 0.1749 0.5811 0.1236
Pr3 0.3251 0.9189 0.1236
Pr4 0.4189 0.6749 0.6236
Pr5 0.5811 0.3251 0.3764
Pr6 0.6749 0.0811 0.8764
Pr7 0.8251 0.4189 0.8764
Pr8 0.9189 0.1749 0.3764
Tl1 0.0402 0.1456 0.8608
Tl2 0.1456 0.4598 0.6392
Tl3 0.3544 0.0402 0.6392
Tl4 0.4598 0.3544 0.8608
Tl5 0.5402 0.6456 0.1392
Tl6 0.6456 0.9598 0.3608
Tl7 0.8544 0.5402 0.3608
Tl8 0.9598 0.8544 0.1392

## Properties
* electronic total energy: -35.4 eV per formula unit

---

LaPr12Tl3: relaxed, PBE.

Unit cell a=5.0457 b=5.0457 c=20.7367 alpha=90.00 beta=90.00 gamma=90.00
Fractional positions:
La1 0.0000 0.0000 0.0000
Pr1 0.0000 0.5000 0.1332
Pr2 0.0000 0.5000 0.3782
Pr3 0.0000 0.5000 0.6218
Pr4 0.0000 0.5000 0.8668
Pr5 0.5000 0.0000 0.1332
Pr6 0.5000 0.0000 0.3782
Pr7 0.5000 0.0000 0.6218
Pr8 0.5000 0.0000 0.8668
Pr9 0.5000 0.5000 0.0000
Pr10 0.5000 0.5000 0.2571
Pr11 0.5000 0.5000 0.5000
Pr12 0.5000 0.5000 0.7429
Tl1 0.0000 0.0000 0.2572
Tl2 0.0000 0.0000 0.5000
Tl3 0.0000 0.0000 0.7428

## Properties
* electronic total energy: -71.7 eV per formula unit

---

La6Pr2Tl: relaxed, PBE.

Unit cell a=6.8906 b=9.4227 c=11.1922 alpha=112.87 beta=105.28 gamma=95.96
Fractional positions:
La1 0.0213 0.3088 0.4370
La2 0.0581 0.3088 0.1176
La3 0.2764 0.0264 0.5530
La4 0.2873 0.0265 0.8937
La5 0.3943 0.6320 0.1066
La6 0.4151 0.6284 0.4369
La7 0.5849 0.3716 0.5631
La8 0.6057 0.3680 0.8934
La9 0.7127 0.9735 0.1063
La10 0.7236 0.9736 0.4470
La11 0.9419 0.6912 0.8824
La12 0.9787 0.6912 0.5630
Pr1 0.0522 0.3150 0.7667
Pr2 0.2853 0.0480 0.2335
Pr3 0.7147 0.9520 0.7665
Pr4 0.9478 0.6850 0.2333
Tl1 0.3942 0.6441 0.7872
Tl2 0.6058 0.3559 0.2128

## Properties
* energy relative to the lowest polymorph listed for this composition: 0.111 eV/f.u.

---

La2Pr2Tl: relaxed, PBE.

Unit cell a=6.6216 b=6.7243 c=9.2794 alpha=71.14 beta=73.92 gamma=62.61
Fractional positions:
La1 0.0367 0.2160 0.3441
La2 0.1405 0.7332 0.1970
La3 0.8595 0.2668 0.8030
La4 0.9633 0.7840 0.6559
Pr1 0.2901 0.3105 0.9383
Pr2 0.4252 0.2650 0.5457
Pr3 0.5748 0.7350 0.4543
Pr4 0.7099 0.6895 0.0617
Tl1 0.3806 0.8099 0.8132
Tl2 0.6194 0.1901 0.1868

## Properties
* energy relative to the lowest polymorph listed for this composition: 0.000 eV/f.u.

---

LaPr5Tl4: relaxed, PBE.

Unit cell a=3.7080 b=3.7080 c=22.9264 alpha=90.00 beta=90.00 gamma=90.00
Fractional positions:
La1 0.0000 0.0000 0.0000
Pr1 0.5000 0.5000 0.1157
Pr2 0.5000 0.5000 0.3074
Pr3 0.5000 0.5000 0.5000
Pr4 0.5000 0.5000 0.6926
Pr5 0.5000 0.5000 0.8843
Tl1 0.0000 0.0000 0.2105
Tl2 0.0000 0.0000 0.4036
Tl3 0.0000 0.0000 0.5964
Tl4 0.0000 0.0000 0.7895

## Properties
* energy relative to the lowest polymorph listed for this composition: 0.000 eV/f.u.

---

LaPr2Tl: relaxed, PBE.

Unit cell a=5.6646 b=5.6646 c=5.6646 alpha=60.00 beta=60.00 gamma=60.00
Fractional positions:
La1 0.0000 0.0000 0.0000
Pr1 0.2500 0.2500 0.2500
Pr2 0.7500 0.7500 0.7500
Tl1 0.5000 0.5000 0.5000

## Properties
* energy relative to the lowest polymorph listed for this composition: 0.637 eV/f.u.

---

La4PrTl: relaxed, PBE.

Unit cell a=6.3173 b=7.1273 c=8.9367 alpha=90.00 beta=91.39 gamma=90.00
Fractional positions:
La1 0.0000 0.0000 0.0000
La2 0.0000 0.5000 0.0000
La3 0.3397 0.0075 0.3397
La4 0.3397 0.4925 0.3397
La5 0.4801 0.7500 0.9832
La6 0.5199 0.2500 0.0168
La7 0.6603 0.5075 0.6603
La8 0.6603 0.9925 0.6603
Pr1 0.1624 0.2500 0.6713
Pr2 0.8376 0.7500 0.3287
Tl1 0.1580 0.7500 0.6550
Tl2 0.8420 0.2500 0.3450

## Properties
* energy relative to the lowest polymorph listed for this composition: 0.015 eV/f.u.

---

La4Pr4Tl: relaxed, PBE.

Unit cell a=8.2381 b=8.2381 c=8.2381 alpha=95.53 beta=95.53 gamma=143.82
Fractional positions:
La1 0.1616 0.1616 0.3232
La2 0.1616 0.8384 0.0000
La3 0.8384 0.1616 0.0000
La4 0.8384 0.8384 0.6768
Pr1 0.1702 0.5000 0.6702
Pr2 0.5000 0.1702 0.6702
Pr3 0.5000 0.8298 0.3298
Pr4 0.8298 0.5000 0.3298
Tl1 0.5000 0.5000 0.0000

## Properties
* electronic total energy: -41.7 eV per formula unit

---

La3Pr2Tl3: relaxed, PBE.

Unit cell a=11.3601 b=11.3601 c=11.3601 alpha=156.70 beta=153.54 gamma=35.54
Fractional positions:
La1 0.0000 0.0000 0.0000
La2 0.3807 0.8807 0.5000
La3 0.6193 0.1193 0.5000
Pr1 0.2350 0.2350 0.0000
Pr2 0.7650 0.7650 0.0000
Tl1 0.1262 0.6262 0.5000
Tl2 0.5000 0.5000 0.0000
Tl3 0.8738 0.3738 0.5000

## Properties
* electronic total energy: -33.9 eV per formula unit

---

La2Pr3Tl: relaxed, PBE.

Unit cell a=9.5759 b=9.5759 c=6.7140 alpha=99.80 beta=99.80 gamma=43.26
Fractional positions:
La1 0.0627 0.2559 0.0666
La2 0.2559 0.0627 0.5666
La3 0.7441 0.9373 0.4334
La4 0.9373 0.7441 0.9334
Pr1 0.2199 0.4496 0.4629
Pr2 0.2824 0.7176 0.2500
Pr3 0.4496 0.2199 0.9629
Pr4 0.5504 0.7801 0.0371
Pr5 0.7176 0.2824 0.7500
Pr6 0.7801 0.5504 0.5371
Tl1 0.2126 0.7874 0.7500
Tl2 0.7874 0.2126 0.2500

## Properties
* energy relative to the lowest polymorph listed for this composition: 0.196 eV/f.u.

---

La2PrTl: relaxed, PBE.

Unit cell a=3.7689 b=3.7689 c=9.6295 alpha=90.00 beta=90.00 gamma=90.00
Fractional positions:
La1 0.0000 0.0000 0.2272
La2 0.0000 0.0000 0.7728
Pr1 0.5000 0.5000 0.5000
Tl1 0.5000 0.5000 0.0000

## Properties
* energy relative to the lowest polymorph listed for this composition: 0.194 eV/f.u.

---

La12PrTl3: relaxed, PBE.

Unit cell a=5.1001 b=5.1001 c=20.6445 alpha=90.00 beta=90.00 gamma=90.00
Fractional positions:
La1 0.0000 0.0000 0.0000
La2 0.0000 0.0000 0.2439
La3 0.0000 0.0000 0.5000
La4 0.0000 0.0000 0.7561
La5 0.0000 0.5000 0.1227
La6 0.0000 0.5000 0.3691
La7 0.0000 0.5000 0.6309
La8 0.0000 0.5000 0.8773
La9 0.5000 0.0000 0.1227
La10 0.5000 0.0000 0.3691
La11 0.5000 0.0000 0.6309
La12 0.5000 0.0000 0.8773
Pr1 0.5000 0.5000 0.5000
Tl1 0.5000 0.5000 0.0000
Tl2 0.5000 0.5000 0.2448
Tl3 0.5000 0.5000 0.7552

## Properties
* electronic total energy: -73.8 eV per formula unit